# LaPm3Zn4

A geometry-optimized LaPm3Zn4 structure (GGA-PBE, Alexandria).

The structure belongs to space group Pmma (No. 51); the cell edges are 10.405, 7.392 and 5.202 Å and the angles 90.00°, 90.00° and 90.00°. Symmetry generates all atoms from La at (0.000, 0.000, 0.000), Pm at (0.000, 0.500, 0.000), Pm at (0.250, 0.000, 0.499), Pm at (0.250, 0.500, 0.499), Zn at (0.000, 0.256, 0.500) and Zn at (0.250, 0.256, 0.998).

The formation energy comes out at -0.313 eV per atom. The total energy is -3.348 eV/atom.